Crystalline TiVPdO2 at its relaxed geometry, computed with PBE with a Hubbard U.

Lattice parameters (Å, degrees): 4.0018 4.6853 4.0018 90.00 90.00 90.00
Positions (direct):
O 0.0000 0.0000 0.5000
O 0.5000 0.0000 0.0000
Pd 0.0000 0.0000 0.0000
Ti 0.0000 0.5000 0.0000
V 0.5000 0.5000 0.5000

Computed properties:
Total energy (Ry/atom): -0.38420
Space group: P4/mmm (123)